Record 1
NaTi3B | PBE | optimized geometry

Values from the calculation:
energy above the lowest structure with this stoichiometry: 1944 meV per atom
calculated formation energy: 52.20 kcal/mol of atoms
magnetic moment: 0.0 μB per formula unit
symmetry: Pm-3m (221)

```
NaTi3B
1.0
4.531 0.000 0.000
0.000 4.531 0.000
0.000 0.000 4.531
Na Ti B
1 3 1
direct
0.000 0.000 0.000
0.000 0.000 0.500
0.000 0.500 0.000
0.500 0.000 0.000
0.500 0.500 0.500
```


Record 2
Ti2Nb3Ga | PBE | optimized geometry

Values from the calculation:
calculated formation energy: -1.09 kcal/mol of atoms
magnetic moment: 0.0 μB per formula unit
symmetry: C2/c (15)

```
Ti2Nb3Ga
1.0
3.609 -4.558 0.000
3.609 4.558 0.000
-1.881 0.000 6.445
Ti Nb Ga
4 6 2
direct
0.116 0.633 0.868
0.367 0.884 0.632
0.633 0.116 0.368
0.884 0.367 0.132
0.061 0.939 0.250
0.219 0.359 0.519
0.359 0.219 0.019
0.641 0.781 0.981
0.781 0.641 0.481
0.939 0.061 0.750
0.359 0.641 0.250
0.641 0.359 0.750
```


Record 3
Rb2UCu2Te6 | PBE | optimized geometry

Values from the calculation:
formation energy without anion corrections: -424 meV per atom
magnetic moment: 0.5 μB per formula unit
symmetry: C2/m (12)

```
Rb2UCu2Te6
1.0
7.413 -3.308 0.000
7.413 3.308 0.000
-4.744 0.000 8.660
Rb U Cu Te
2 1 2 6
direct
0.198 0.198 0.195
0.802 0.802 0.805
0.000 0.000 0.500
0.403 0.403 0.692
0.597 0.597 0.308
0.199 0.701 0.213
0.216 0.216 0.594
0.299 0.801 0.787
0.701 0.199 0.213
0.784 0.784 0.406
0.801 0.299 0.787
```


Record 4
CaAcCdPd | PBE | optimized geometry

Values from the calculation:
calculated formation energy: -10.80 kcal/mol of atoms
magnetic moment: 0.0 μB per formula unit
symmetry: F-43m (216)

```
CaAcCdPd
1.0
0.000 3.825 3.825
3.825 0.000 3.825
3.825 3.825 0.000
Ca Ac Cd Pd
1 1 1 1
direct
0.000 0.000 0.000
0.500 0.500 0.500
0.250 0.250 0.250
0.750 0.750 0.750
```


Record 5
TbTaPd | PBE | optimized geometry

Values from the calculation:
calculated formation energy: -3.50 kcal/mol of atoms
magnetic moment: 0.0 μB per formula unit
symmetry: Cmmm (65)

```
TbTaPd
1.0
2.354 -2.360 0.000
2.354 2.360 0.000
0.000 0.000 11.148
Tb Ta Pd
2 2 2
direct
0.000 0.000 0.169
0.000 0.000 0.831
0.500 0.500 0.364
0.500 0.500 0.636
0.000 0.000 0.500
0.500 0.500 0.000
```


Record 6
SrNpBiO2 | PBE | optimized geometry

Values from the calculation:
formation energy without anion corrections: -2152 meV per atom
magnetic moment: 3.1 μB per formula unit
symmetry: I4mm (107)

```
SrNpBiO2
1.0
-1.973 1.973 7.087
1.973 -1.973 7.087
1.973 1.973 -7.087
Sr Np Bi O
1 1 1 2
direct
0.000 0.000 0.000
0.326 0.326 0.000
0.668 0.668 0.000
0.394 0.894 0.500
0.894 0.394 0.500
```